<i>
Crystalline BaSn4Sb2 at its relaxed geometry. Source: Alexandria, functional PBE.

Geometry as CIF:
```
data_BaSn4Sb2
_space_group_name_H-M_alt 'P 1'
_space_group_IT_number 1
_space_group_name_Hall 'P 1'
_cell_length_a 4.926
_cell_length_b 9.641
_cell_length_c 9.641
_cell_angle_alpha 90.00
_cell_angle_beta 90.00
_cell_angle_gamma 90.00
loop_
_atom_site_label
_atom_site_type_symbol
_atom_site_fract_x
_atom_site_fract_y
_atom_site_fract_z
_atom_site_occupancy
Ba1 Ba 0.500 0.000 0.000 1
Sn1 Sn 0.500 0.854 0.412 1
Sb1 Sb 0.000 0.789 0.211 1
Sn2 Sn 0.000 0.088 0.354 1
Sn3 Sn 0.000 0.646 0.912 1
Sb2 Sb 0.500 0.289 0.289 1
Sn4 Sn 0.500 0.412 0.854 1
Sb3 Sb 0.500 0.711 0.711 1
Sn5 Sn 0.000 0.912 0.646 1
Sn6 Sn 0.500 0.146 0.588 1
Ba2 Ba 0.000 0.500 0.500 1
Sn7 Sn 0.500 0.588 0.146 1
Sn8 Sn 0.000 0.354 0.088 1
Sb4 Sb 0.000 0.211 0.789 1
```

=====

<ii>
Crystalline BaSn4Sb2 at its relaxed geometry. Source: Alexandria, functional PBE.

Geometry as CIF:
```
data_BaSn4Sb2
_space_group_name_H-M_alt 'P 1'
_space_group_IT_number 1
_space_group_name_Hall 'P 1'
_cell_length_a 5.315
_cell_length_b 5.318
_cell_length_c 9.942
_cell_angle_alpha 105.53
_cell_angle_beta 90.03
_cell_angle_gamma 59.99
loop_
_atom_site_label
_atom_site_type_symbol
_atom_site_fract_x
_atom_site_fract_y
_atom_site_fract_z
_atom_site_occupancy
Sn1 Sn 0.838 0.325 0.487 1
Sn2 Sn 0.162 0.675 0.513 1
Sb1 Sb 0.732 0.535 0.803 1
Sb2 Sb 0.268 0.465 0.197 1
Ba1 Ba 0.000 0.000 0.000 1
Sn3 Sn 0.439 0.122 0.682 1
Sn4 Sn 0.561 0.878 0.318 1
```

=====

Tell me which of them is the most stable. Sure, it is <ii>.

=====

<i>
Crystalline BaSrSn2Sb at its relaxed geometry. Source: Alexandria, functional PBE.

Geometry as CIF:
```
data_BaSrSn2Sb
_space_group_name_H-M_alt 'P 1'
_space_group_IT_number 1
_space_group_name_Hall 'P 1'
_cell_length_a 5.900
_cell_length_b 6.279
_cell_length_c 5.900
_cell_angle_alpha 90.00
_cell_angle_beta 90.00
_cell_angle_gamma 90.00
loop_
_atom_site_label
_atom_site_type_symbol
_atom_site_fract_x
_atom_site_fract_y
_atom_site_fract_z
_atom_site_occupancy
Sn1 Sn 0.000 0.000 0.500 1
Sr1 Sr 0.500 0.500 0.500 1
Sb1 Sb 0.000 0.000 0.000 1
Sn2 Sn 0.500 0.000 0.000 1
Ba1 Ba 0.000 0.500 0.000 1
```

=====

<ii>
Crystalline BaSrSn2Sb at its relaxed geometry. Source: Alexandria, functional PBE.

Geometry as CIF:
```
data_BaSrSn2Sb
_space_group_name_H-M_alt 'P 1'
_space_group_IT_number 1
_space_group_name_Hall 'P 1'
_cell_length_a 4.710
_cell_length_b 5.002
_cell_length_c 8.511
_cell_angle_alpha 107.09
_cell_angle_beta 106.06
_cell_angle_gamma 90.00
loop_
_atom_site_label
_atom_site_type_symbol
_atom_site_fract_x
_atom_site_fract_y
_atom_site_fract_z
_atom_site_occupancy
Sn1 Sn 0.043 0.043 0.087 1
Sn2 Sn 0.656 0.156 0.311 1
Sr1 Sr 0.207 0.707 0.413 1
Sb1 Sb 0.859 0.859 0.719 1
Ba1 Ba 0.447 0.447 0.895 1
```

=====

Tell me which of them is the most stable. Sure, it is <ii>.